Record 1
DFT (meta-GGA SCAN) results for a crystal of SmH9C5N2O8 relaxed with PBEsol.

Cell: 6.7293 8.5686 9.8738 Å, 90.00 109.92 90.00°
With the nearest neighbours (Å) after each atom.
Positions (direct):
Sm  0.3583  0.2500  0.7166  8 O 2.31-2.46
Sm  0.6417  0.7500  0.2834  8 O 2.31-2.46
H  0.8521  0.1748  0.0182  1 N 1.04
H  0.8339  0.8252  0.9818  1 N 1.04
H  0.1479  0.6748  0.9818  1 N 1.04
H  0.1661  0.3252  0.0182  1 N 1.04
H  0.8630  0.1011  0.1917  1 N 1.04
H  0.6713  0.8989  0.8083  1 N 1.04
H  0.1370  0.6011  0.8083  1 N 1.04
H  0.3287  0.3989  0.1917  1 N 1.04
H  0.8196  0.2500  0.6391  1 C 1.11
H  0.1804  0.7500  0.3609  1 C 1.11
H  0.1564  0.2500  0.3128  1 C 1.10
H  0.8436  0.7500  0.6872  1 C 1.10
H  0.2454  0.0000  0.0000  1 C 1.11
H  0.7546  0.5000  0.0000  1 C 1.11
H  0.4008  0.0533  0.4220  1 C 1.12
H  0.9787  0.9467  0.5780  1 C 1.12
H  0.5992  0.5533  0.5780  1 C 1.12
H  0.0213  0.4467  0.4220  1 C 1.12
C  0.8795  0.2500  0.7590  1 H 1.11
C  0.1205  0.7500  0.2410  1 H 1.11
C  0.0970  0.2500  0.1940  1 H 1.10
C  0.9030  0.7500  0.8060  1 H 1.10
C  0.4110  0.0000  0.0000  1 H 1.11
C  0.5890  0.5000  0.0000  1 H 1.11
C  0.4840  0.9733  0.5127  1 H 1.12
C  0.9713  0.0267  0.4873  1 H 1.12
C  0.5160  0.4733  0.4873  1 H 1.12
C  0.0287  0.5267  0.5127  1 H 1.12
N  0.9262  0.1678  0.1289  2 H 1.04
N  0.7973  0.8322  0.8711  2 H 1.04
N  0.0738  0.6678  0.8711  2 H 1.04
N  0.2027  0.3322  0.1289  2 H 1.04
O  0.4496  0.0632  0.8964  1 C 1.26
O  0.5532  0.9368  0.1036  1 C 1.26
O  0.5504  0.5632  0.1036  1 C 1.26
O  0.4468  0.4368  0.8964  1 C 1.26
O  0.0773  0.2407  0.8226  1 C 1.27
O  0.2546  0.7593  0.1774  1 C 1.27
O  0.9227  0.7407  0.1774  1 C 1.27
O  0.7454  0.2593  0.8226  1 C 1.27
O  0.4983  0.0158  0.6382  1 C 1.26
O  0.8602  0.9842  0.3618  1 C 1.26
O  0.5017  0.5158  0.3618  1 C 1.26
O  0.1398  0.4842  0.6382  1 C 1.26
O  0.0748  0.1530  0.5164  1 C 1.27
O  0.5584  0.8470  0.4836  1 C 1.27
O  0.9252  0.6530  0.4836  1 C 1.27
O  0.4416  0.3470  0.5164  1 C 1.27

Calculated values
- magnetization (Bohr magnetons per cell) = 0.00
- energy (Ry per atom) = -0.651

Record 2
DFT (meta-GGA SCAN) results for a crystal of ZnH7C4N3O7 relaxed with PBEsol.

Cell: 6.6489 10.4876 12.3634 Å, 107.02 90.00 90.00°
With the nearest neighbours (Å) after each atom.
Positions (direct):
Zn  0.8007  0.1664  0.9558  5 O 2.03-2.14, 1 N 2.14
Zn  0.1993  0.8336  0.0442  5 O 2.03-2.14, 1 N 2.14
Zn  0.3007  0.3336  0.5442  5 O 2.03-2.14, 1 N 2.14
Zn  0.6993  0.6664  0.4558  5 O 2.03-2.14, 1 N 2.14
H  0.1474  0.9575  0.8938  1 O 1.01
H  0.8526  0.0425  0.1062  1 O 1.01
H  0.6474  0.5425  0.6062  1 O 1.01
H  0.3526  0.4575  0.3938  1 O 1.01
H  0.3973  0.7229  0.6056  1 O 1.00
H  0.6027  0.2771  0.3944  1 O 1.00
H  0.8973  0.7771  0.8944  1 O 1.00
H  0.1027  0.2229  0.1056  1 O 1.00
H  0.4796  0.0838  0.8060  1 O 1.01
H  0.5204  0.9162  0.1940  1 O 1.01
H  0.9796  0.4162  0.6940  1 O 1.01
H  0.0204  0.5838  0.3060  1 O 1.01
H  0.4449  0.0449  0.9179  1 O 1.00
H  0.5551  0.9551  0.0821  1 O 1.00
H  0.9449  0.4551  0.5821  1 O 1.00
H  0.0551  0.5449  0.4179  1 O 1.00
H  0.8345  0.7208  0.9982  1 O 1.00
H  0.1655  0.2792  0.0018  1 O 1.00
H  0.3345  0.7792  0.5018  1 O 1.00
H  0.6655  0.2208  0.4982  1 O 1.00
H  0.8135  0.6609  0.6487  1 O 1.02
H  0.1865  0.3391  0.3513  1 O 1.02
H  0.3135  0.8391  0.8513  1 O 1.02
H  0.6865  0.1609  0.1487  1 O 1.02
H  0.8514  0.1620  0.7159  1 N 1.07
H  0.1486  0.8380  0.2841  1 N 1.07
H  0.3514  0.3380  0.7841  1 N 1.07
H  0.6486  0.6620  0.2159  1 N 1.07
C  0.8350  0.3990  0.8700  2 O 1.25-1.28
C  0.1650  0.6010  0.1300  2 O 1.25-1.28
C  0.3350  0.1010  0.6300  2 O 1.25-1.28
C  0.6650  0.8990  0.3700  2 O 1.25-1.28
C  0.7597  0.4500  0.9882  2 N 1.33-1.35, 1 C 1.49
C  0.2403  0.5500  0.0118  2 N 1.33-1.35, 1 C 1.49
C  0.2597  0.0500  0.5118  2 N 1.33-1.35, 1 C 1.49
C  0.7403  0.9500  0.4882  2 N 1.33-1.35, 1 C 1.49
C  0.8904  0.9078  0.7539  2 O 1.26-1.27
C  0.1096  0.0922  0.2461  2 O 1.26-1.27
C  0.3904  0.5922  0.7461  2 O 1.26-1.27
C  0.6096  0.4078  0.2539  2 O 1.26-1.27
C  0.8337  0.9459  0.6509  2 N 1.33-1.35, 1 C 1.49
C  0.1663  0.0541  0.3491  2 N 1.33-1.35, 1 C 1.49
C  0.3337  0.5541  0.8491  2 N 1.33-1.35, 1 C 1.49
C  0.6663  0.4459  0.1509  2 N 1.33-1.35, 1 C 1.49
N  0.7663  0.0781  0.5458  1 C 1.33, 1 N 1.34
N  0.2337  0.9219  0.4542  1 C 1.33, 1 N 1.34
N  0.2663  0.4219  0.9542  1 C 1.33, 1 N 1.34
N  0.7337  0.5781  0.0458  1 C 1.33, 1 N 1.34
N  0.7808  0.8658  0.5499  2 C 1.33-1.35
N  0.2192  0.1342  0.4501  2 C 1.33-1.35
N  0.2808  0.6342  0.9501  2 C 1.33-1.35
N  0.7192  0.3658  0.0499  2 C 1.33-1.35
N  0.8270  0.0734  0.6475  1 H 1.07
N  0.1730  0.9266  0.3525  1 H 1.07
N  0.3270  0.4266  0.8525  1 H 1.07
N  0.6730  0.5734  0.1475  1 H 1.07
O  0.8767  0.4793  0.8162  1 C 1.25
O  0.1233  0.5207  0.1838  1 C 1.25
O  0.3767  0.0207  0.6838  1 C 1.25
O  0.6233  0.9793  0.3162  1 C 1.25
O  0.8543  0.2716  0.8353  1 C 1.28
O  0.1457  0.7284  0.1647  1 C 1.28
O  0.3543  0.2284  0.6647  1 C 1.28
O  0.6457  0.7716  0.3353  1 C 1.28
O  0.7728  0.5820  0.5821  2 H 1.01-1.02
O  0.2272  0.4180  0.4179  2 H 1.01-1.02
O  0.2728  0.9180  0.9179  2 H 1.01-1.02
O  0.7272  0.0820  0.0821  2 H 1.01-1.02
O  0.9490  0.0029  0.8381  1 C 1.27
O  0.0510  0.9971  0.1619  1 C 1.27
O  0.4490  0.4971  0.6619  1 C 1.27
O  0.5510  0.5029  0.3381  1 C 1.27
O  0.4075  0.7064  0.5221  2 H 1.00
O  0.5925  0.2936  0.4779  2 H 1.00
O  0.9075  0.7936  0.9779  2 H 1.00
O  0.0925  0.2064  0.0221  2 H 1.00
O  0.5255  0.1071  0.8876  2 H 1.00-1.01
O  0.4745  0.8929  0.1124  2 H 1.00-1.01
O  0.0255  0.3929  0.6124  2 H 1.00-1.01
O  0.9745  0.6071  0.3876  2 H 1.00-1.01
O  0.8820  0.7872  0.7517  1 C 1.26
O  0.1180  0.2128  0.2483  1 C 1.26
O  0.3820  0.7128  0.7483  1 C 1.26
O  0.6180  0.2872  0.2517  1 C 1.26

Calculated values
- magnetization (Bohr magnetons per cell) = 0.00
- energy (Ry per atom) = -0.561

Record 3
DFT (meta-GGA SCAN) results for a crystal of RbH4CN3 relaxed with PBEsol.

Cell: 6.8663 7.0154 7.3482 Å, 90.00 90.00 90.00°
With the nearest neighbours (Å) after each atom.
Positions (direct):
Rb  0.5262  0.2500  0.9277  10 H 2.89-3.21, 6 N 3.07-3.23, 1 C 3.08
Rb  0.0262  0.2500  0.5723  10 H 2.89-3.21, 6 N 3.07-3.23, 1 C 3.08
Rb  0.4738  0.7500  0.0723  10 H 2.89-3.21, 6 N 3.07-3.23, 1 C 3.08
Rb  0.9738  0.7500  0.4277  10 H 2.89-3.21, 6 N 3.07-3.23, 1 C 3.08
H  0.9346  0.1226  0.9366  1 N 1.05
H  0.4346  0.3774  0.5634  1 N 1.05
H  0.0654  0.6226  0.0634  1 N 1.05
H  0.5654  0.8774  0.4366  1 N 1.05
H  0.0654  0.8774  0.0634  1 N 1.05
H  0.5654  0.6226  0.4366  1 N 1.05
H  0.9346  0.3774  0.9366  1 N 1.05
H  0.4346  0.1226  0.5634  1 N 1.05
H  0.2965  0.0961  0.2784  1 N 1.03
H  0.7965  0.4039  0.2216  1 N 1.03
H  0.7035  0.5961  0.7216  1 N 1.03
H  0.2035  0.9039  0.7784  1 N 1.03
H  0.7035  0.9039  0.7216  1 N 1.03
H  0.2035  0.5961  0.7784  1 N 1.03
H  0.2965  0.4039  0.2784  1 N 1.03
H  0.7965  0.0961  0.2216  1 N 1.03
C  0.8700  0.7500  0.8769  3 N 1.35-1.37
C  0.3700  0.7500  0.6231  3 N 1.35-1.37
C  0.1300  0.2500  0.1231  3 N 1.35-1.37
C  0.6300  0.2500  0.3769  3 N 1.35-1.37
N  0.9915  0.2500  0.9883  2 H 1.05
N  0.4915  0.2500  0.5117  2 H 1.05
N  0.0085  0.7500  0.0117  2 H 1.05
N  0.5085  0.7500  0.4883  2 H 1.05
N  0.8093  0.5775  0.8196  1 H 1.03
N  0.3093  0.9225  0.6804  1 H 1.03
N  0.1907  0.0775  0.1804  1 H 1.03
N  0.6907  0.4225  0.3196  1 H 1.03
N  0.1907  0.4225  0.1804  1 H 1.03
N  0.6907  0.0775  0.3196  1 H 1.03
N  0.8093  0.9225  0.8196  1 H 1.03
N  0.3093  0.5775  0.6804  1 H 1.03

Calculated values
- magnetization (Bohr magnetons per cell) = 0.00
- energy (Ry per atom) = -0.621

Record 4
DFT (meta-GGA SCAN) results for a crystal of NaNi4H9C3O15 relaxed with PBEsol.

Cell: 6.0173 10.2330 10.2330 Å, 120.00 90.00 90.00°
With the nearest neighbours (Å) after each atom.
Positions (direct):
Na  0.1140  0.0000  0.0000  6 O 2.32-2.34
Na  0.6140  0.0000  0.0000  6 O 2.32-2.34
Ni  0.2564  0.4862  0.9989  6 O 2.00-2.11
Ni  0.3755  0.3333  0.6667  6 O 2.00-2.13
Ni  0.2564  0.0011  0.4874  6 O 2.00-2.11
Ni  0.2564  0.5126  0.5138  6 O 2.00-2.11
Ni  0.7564  0.4874  0.4862  6 O 2.00-2.11
Ni  0.7564  0.9989  0.5126  6 O 2.00-2.11
Ni  0.8755  0.6667  0.3333  6 O 2.00-2.13
Ni  0.7564  0.5138  0.0011  6 O 2.00-2.11
H  0.3386  0.2253  0.9938  1 O 1.00
H  0.3405  0.1092  0.8192  1 O 0.98
H  0.5727  0.2790  0.8383  1 O 0.99
H  0.3405  0.7100  0.8908  1 O 0.98
H  0.3386  0.7685  0.7747  1 O 1.00
H  0.5727  0.5592  0.7210  1 O 0.99
H  0.5727  0.1617  0.4408  1 O 0.99
H  0.8405  0.8192  0.7100  1 O 0.98
H  0.8386  0.9938  0.7685  1 O 1.00
H  0.3386  0.0062  0.2315  1 O 1.00
H  0.3405  0.1808  0.2900  1 O 0.98
H  0.0727  0.8383  0.5592  1 O 0.99
H  0.0727  0.4408  0.2790  1 O 0.99
H  0.8386  0.2315  0.2253  1 O 1.00
H  0.8405  0.2900  0.1092  1 O 0.98
H  0.0727  0.7210  0.1617  1 O 0.99
H  0.8405  0.8908  0.1808  1 O 0.98
H  0.8386  0.7747  0.0062  1 O 1.00
C  0.9996  0.2202  0.7809  3 O 1.29-1.30
C  0.9996  0.5607  0.7798  3 O 1.29-1.30
C  0.9996  0.2191  0.4393  3 O 1.29-1.30
C  0.4996  0.7809  0.5607  3 O 1.29-1.30
C  0.4996  0.4393  0.2202  3 O 1.29-1.30
C  0.4996  0.7798  0.2191  3 O 1.29-1.30
O  0.3677  0.1176  0.9180  2 H 0.98-1.00
O  0.9979  0.3406  0.9130  1 C 1.30
O  0.5176  0.3796  0.8623  1 H 0.99
O  0.8206  0.1413  0.7325  1 C 1.29
O  0.1829  0.1801  0.7030  1 C 1.30
O  0.8206  0.5912  0.8587  1 C 1.29
O  0.1829  0.5229  0.8199  1 C 1.30
O  0.3677  0.8003  0.8824  2 H 0.98-1.00
O  0.5176  0.1377  0.5174  1 H 0.99
O  0.5176  0.4826  0.6204  1 H 0.99
O  0.9979  0.0870  0.4276  1 C 1.30
O  0.9979  0.5724  0.6594  1 C 1.30
O  0.8677  0.9180  0.8003  2 H 0.98-1.00
O  0.1829  0.2970  0.4771  1 C 1.30
O  0.8206  0.2675  0.4088  1 C 1.29
O  0.3206  0.7325  0.5912  1 C 1.29
O  0.6829  0.7030  0.5229  1 C 1.30
O  0.3677  0.0820  0.1997  2 H 0.98-1.00
O  0.4979  0.4276  0.3406  1 C 1.30
O  0.4979  0.9130  0.5724  1 C 1.30
O  0.0176  0.5174  0.3796  1 H 0.99
O  0.0176  0.8623  0.4826  1 H 0.99
O  0.8677  0.1997  0.1176  2 H 0.98-1.00
O  0.6829  0.4771  0.1801  1 C 1.30
O  0.3206  0.4088  0.1413  1 C 1.29
O  0.6829  0.8199  0.2970  1 C 1.30
O  0.3206  0.8587  0.2675  1 C 1.29
O  0.0176  0.6204  0.1377  1 H 0.99
O  0.4979  0.6594  0.0870  1 C 1.30
O  0.8677  0.8824  0.0820  2 H 0.98-1.00

Calculated values
- magnetization (Bohr magnetons per cell) = 16.00
- energy (Ry per atom) = -0.611